# 1
# LaZnAs4 (PBE, relaxed)
data_LaZnAs4
_chemical_formula_sum 'La1 Zn1 As4'
_cell_length_a 5.709
_cell_length_b 5.709
_cell_length_c 5.709
_cell_angle_alpha 60.00
_cell_angle_beta 60.00
_cell_angle_gamma 60.00
_symmetry_space_group_name_H-M 'P 1'
_symmetry_Int_Tables_number 1
_symmetry_space_group_name_Hall 'P 1'
loop_
_atom_site_label
_atom_site_type_symbol
_atom_site_fract_x
_atom_site_fract_y
_atom_site_fract_z
La1 La 0.000 0.000 0.000
Zn1 Zn 0.750 0.750 0.750
As1 As 0.379 0.379 0.379
As2 As 0.379 0.379 0.862
As3 As 0.379 0.862 0.379
As4 As 0.862 0.379 0.379
# * total DFT energy (no corrections): -4.37 eV/atom
# * calculated formation energy: -0.235 eV per atom
# * SG: F-43m, No. 216



# 2
# LiUIrPd (PBE, relaxed)
data_LiUIrPd
_chemical_formula_sum 'Li1 U1 Ir1 Pd1'
_cell_length_a 4.638
_cell_length_b 4.638
_cell_length_c 4.638
_cell_angle_alpha 60.00
_cell_angle_beta 60.00
_cell_angle_gamma 60.00
_symmetry_space_group_name_H-M 'P 1'
_symmetry_Int_Tables_number 1
_symmetry_space_group_name_Hall 'P 1'
loop_
_atom_site_label
_atom_site_type_symbol
_atom_site_fract_x
_atom_site_fract_y
_atom_site_fract_z
Li1 Li 0.000 0.000 0.000
U1 U 0.500 0.500 0.500
Ir1 Ir 0.750 0.750 0.750
Pd1 Pd 0.250 0.250 0.250
# * total DFT energy (no corrections): -7.15 eV/atom
# * calculated formation energy: -0.332 eV per atom
# * SG: F-43m, No. 216



# 3
# YMoN2 (PBE, relaxed)
data_YMoN2
_chemical_formula_sum 'Y4 Mo4 N8'
_cell_length_a 5.724
_cell_length_b 3.215
_cell_length_c 10.616
_cell_angle_alpha 90.00
_cell_angle_beta 90.00
_cell_angle_gamma 90.00
_symmetry_space_group_name_H-M 'P 1'
_symmetry_Int_Tables_number 1
_symmetry_space_group_name_Hall 'P 1'
loop_
_atom_site_label
_atom_site_type_symbol
_atom_site_fract_x
_atom_site_fract_y
_atom_site_fract_z
Y1 Y 0.078 0.250 0.146
Y2 Y 0.422 0.750 0.646
Y3 Y 0.578 0.250 0.354
Y4 Y 0.922 0.750 0.854
Mo1 Mo 0.066 0.750 0.407
Mo2 Mo 0.434 0.250 0.907
Mo3 Mo 0.566 0.750 0.093
Mo4 Mo 0.934 0.250 0.593
N1 N 0.165 0.250 0.750
N2 N 0.243 0.750 0.993
N3 N 0.257 0.250 0.493
N4 N 0.335 0.750 0.250
N5 N 0.665 0.250 0.750
N6 N 0.743 0.750 0.507
N7 N 0.757 0.250 0.007
N8 N 0.835 0.750 0.250
# * total DFT energy (no corrections): -9.60 eV/atom
# * formation energy from raw total energies: -1.1126 eV per atom
# * SG: Pnma, No. 62



# 4
# KBa (PBE, relaxed)
data_KBa
_chemical_formula_sum 'K4 Ba4'
_cell_length_a 7.392
_cell_length_b 7.392
_cell_length_c 12.757
_cell_angle_alpha 90.00
_cell_angle_beta 90.00
_cell_angle_gamma 120.00
_symmetry_space_group_name_H-M 'P 1'
_symmetry_Int_Tables_number 1
_symmetry_space_group_name_Hall 'P 1'
loop_
_atom_site_label
_atom_site_type_symbol
_atom_site_fract_x
_atom_site_fract_y
_atom_site_fract_z
K1 K 0.333 0.667 0.087
K2 K 0.333 0.667 0.413
K3 K 0.667 0.333 0.587
K4 K 0.667 0.333 0.913
Ba1 Ba 0.000 0.000 0.250
Ba2 Ba 0.000 0.000 0.750
Ba3 Ba 0.333 0.667 0.750
Ba4 Ba 0.667 0.333 0.250
# * total DFT energy (no corrections): -1.25 eV/atom
# * calculated formation energy: 0.261 eV per atom
# * SG: P6_3/mmc, No. 194



# 5
# Dy4Tm3Co2 (PBE, relaxed)
data_Dy4Tm3Co2
_chemical_formula_sum 'Dy4 Tm3 Co2'
_cell_length_a 8.295
_cell_length_b 8.295
_cell_length_c 8.853
_cell_angle_alpha 112.44
_cell_angle_beta 112.44
_cell_angle_gamma 24.90
_symmetry_space_group_name_H-M 'P 1'
_symmetry_Int_Tables_number 1
_symmetry_space_group_name_Hall 'P 1'
loop_
_atom_site_label
_atom_site_type_symbol
_atom_site_fract_x
_atom_site_fract_y
_atom_site_fract_z
Dy1 Dy 0.134 0.134 0.392
Dy2 Dy 0.271 0.271 0.852
Dy3 Dy 0.729 0.729 0.148
Dy4 Dy 0.866 0.866 0.608
Tm1 Tm 0.428 0.428 0.307
Tm2 Tm 0.500 0.500 0.000
Tm3 Tm 0.572 0.572 0.693
Co1 Co 0.118 0.118 0.936
Co2 Co 0.882 0.882 0.064
# * total DFT energy (no corrections): -5.23 eV/atom
# * calculated formation energy: -0.118 eV per atom
# * SG: C2/m, No. 12



# 6
# CsSrCd2 (PBE, relaxed)
data_CsSrCd2
_chemical_formula_sum 'Cs2 Sr2 Cd4'
_cell_length_a 7.925
_cell_length_b 7.925
_cell_length_c 7.925
_cell_angle_alpha 105.22
_cell_angle_beta 105.22
_cell_angle_gamma 118.36
_symmetry_space_group_name_H-M 'P 1'
_symmetry_Int_Tables_number 1
_symmetry_space_group_name_Hall 'P 1'
loop_
_atom_site_label
_atom_site_type_symbol
_atom_site_fract_x
_atom_site_fract_y
_atom_site_fract_z
Cs1 Cs 0.000 0.000 0.000
Cs2 Cs 0.750 0.250 0.500
Sr1 Sr 0.250 0.750 0.500
Sr2 Sr 0.500 0.500 0.000
Cd1 Cd 0.154 0.125 0.529
Cd2 Cd 0.375 0.846 0.971
Cd3 Cd 0.596 0.625 0.471
Cd4 Cd 0.875 0.404 0.029
# * total DFT energy (no corrections): -0.97 eV/atom
# * calculated formation energy: 0.126 eV per atom
# * energy relative to the lowest polymorph listed for this composition: 0.243 eV per atom
# * SG: I-42d, No. 122



# 7
# CsHfPS2 (PBE, relaxed)
data_CsHfPS2
_chemical_formula_sum 'Cs1 Hf1 P1 S2'
_cell_length_a 5.116
_cell_length_b 5.116
_cell_length_c 5.526
_cell_angle_alpha 90.00
_cell_angle_beta 90.00
_cell_angle_gamma 90.00
_symmetry_space_group_name_H-M 'P 1'
_symmetry_Int_Tables_number 1
_symmetry_space_group_name_Hall 'P 1'
loop_
_atom_site_label
_atom_site_type_symbol
_atom_site_fract_x
_atom_site_fract_y
_atom_site_fract_z
Cs1 Cs 0.000 0.000 0.000
Hf1 Hf 0.500 0.500 0.500
P1 P 0.000 0.000 0.500
S1 S 0.000 0.500 0.000
S2 S 0.500 0.000 0.000
# * total DFT energy (no corrections): -3.21 eV/atom
# * formation energy from raw total energies: 1.6845 eV per atom
# * energy relative to the lowest polymorph listed for this composition: 2.475 eV per atom
# * SG: P4/mmm, No. 123



# 8
# Mg2ScPd8 (PBE, relaxed)
data_Mg2ScPd8
_chemical_formula_sum 'Mg2 Sc1 Pd8'
_cell_length_a 7.395
_cell_length_b 7.395
_cell_length_c 6.308
_cell_angle_alpha 105.71
_cell_angle_beta 105.71
_cell_angle_gamma 32.02
_symmetry_space_group_name_H-M 'P 1'
_symmetry_Int_Tables_number 1
_symmetry_space_group_name_Hall 'P 1'
loop_
_atom_site_label
_atom_site_type_symbol
_atom_site_fract_x
_atom_site_fract_y
_atom_site_fract_z
Mg1 Mg 0.223 0.223 0.153
Mg2 Mg 0.777 0.777 0.847
Sc1 Sc 0.500 0.500 0.500
Pd1 Pd 0.041 0.041 0.225
Pd2 Pd 0.140 0.140 0.688
Pd3 Pd 0.320 0.320 0.585
Pd4 Pd 0.405 0.405 0.041
Pd5 Pd 0.595 0.595 0.959
Pd6 Pd 0.680 0.680 0.415
Pd7 Pd 0.860 0.860 0.312
Pd8 Pd 0.959 0.959 0.775
# * total DFT energy (no corrections): -5.25 eV/atom
# * calculated formation energy: -0.610 eV per atom
# * SG: C2/m, No. 12